No. 1
A relaxed structure of Li4Cu11. Source: Alexandria, functional PBE.

Unit cell a=4.7301 b=8.9540 c=8.9540 alpha=90.00 beta=90.00 gamma=90.00
Closest atoms and distances in Å follow each position.
Fractional coordinates of all 30 atoms:
Li1 0.0000 0.1396 0.5432  5 Cu 2.42-2.60, 1 Li 2.62
Li2 0.0000 0.8604 0.4568  5 Cu 2.42-2.60, 1 Li 2.62
Li3 0.5000 0.9568 0.6396  5 Cu 2.42-2.60, 1 Li 2.62
Li4 0.5000 0.0432 0.3604  5 Cu 2.42-2.60, 1 Li 2.62
Li5 0.5000 0.3604 0.0432  5 Cu 2.42-2.60, 1 Li 2.62
Li6 0.5000 0.6396 0.9568  5 Cu 2.42-2.60, 1 Li 2.62
Li7 0.0000 0.5432 0.1396  5 Cu 2.42-2.60, 1 Li 2.62
Li8 0.0000 0.4568 0.8604  5 Cu 2.42-2.60, 1 Li 2.62
Cu1 0.0000 0.0000 0.0000  12 Cu 2.42-2.66
Cu2 0.5000 0.5000 0.5000  12 Cu 2.42-2.66
Cu3 0.0000 0.4042 0.5958  2 Li 2.42, 3 Cu 2.43-2.66
Cu4 0.0000 0.5958 0.4042  2 Li 2.42, 3 Cu 2.43-2.66
Cu5 0.5000 0.9042 0.9042  2 Li 2.42, 3 Cu 2.43-2.66
Cu6 0.5000 0.0958 0.0958  2 Li 2.42, 3 Cu 2.43-2.66
Cu7 0.0000 0.0708 0.2614  6 Cu 2.41-2.64, 4 Li 2.54-2.60
Cu8 0.0000 0.9292 0.7386  6 Cu 2.41-2.64, 4 Li 2.54-2.60
Cu9 0.5000 0.2386 0.5708  6 Cu 2.41-2.64, 4 Li 2.54-2.60
Cu10 0.5000 0.7614 0.4292  6 Cu 2.41-2.64, 4 Li 2.54-2.60
Cu11 0.5000 0.4292 0.7614  6 Cu 2.41-2.64, 4 Li 2.54-2.60
Cu12 0.5000 0.5708 0.2386  6 Cu 2.41-2.64, 4 Li 2.54-2.60
Cu13 0.0000 0.2614 0.0708  6 Cu 2.41-2.64, 4 Li 2.54-2.60
Cu14 0.0000 0.7386 0.9292  6 Cu 2.41-2.64, 4 Li 2.54-2.60
Cu15 0.2496 0.3204 0.3204  7 Cu 2.36-2.64
Cu16 0.2496 0.6796 0.6796  7 Cu 2.36-2.64
Cu17 0.7496 0.1796 0.8204  7 Cu 2.36-2.64
Cu18 0.7496 0.8204 0.1796  7 Cu 2.36-2.64
Cu19 0.2504 0.1796 0.8204  7 Cu 2.36-2.64
Cu20 0.2504 0.8204 0.1796  7 Cu 2.36-2.64
Cu21 0.7504 0.3204 0.3204  7 Cu 2.36-2.64
Cu22 0.7504 0.6796 0.6796  7 Cu 2.36-2.64

## Properties
Crystal system   tetragonal
DOS at the Fermi energy   11.55 states/eV per cell

***

No. 2
A relaxed structure of LiCu3. Source: Alexandria, functional PBE.

Unit cell a=2.5197 b=2.5197 c=8.4308 alpha=90.00 beta=90.00 gamma=113.24
Closest atoms and distances in Å follow each position.
Fractional coordinates of all 4 atoms:
Cu1 0.0000 0.0000 0.9966  8 Cu 2.50-2.77, 2 Li 2.55
Cu2 0.5000 0.5000 0.7500  10 Cu 2.50-2.77
Cu3 0.0000 0.0000 0.5034  8 Cu 2.50-2.77, 2 Li 2.55
Li1 0.5000 0.5000 0.2500  6 Li 2.52-2.77, 4 Cu 2.55

## Properties
Crystal system   orthorhombic
DOS at the Fermi energy   1.67 states/eV per cell

***

No. 3
A relaxed structure of LiCu5. Source: Alexandria, functional PBE.

Unit cell a=3.6618 b=4.4699 c=5.1300 alpha=108.20 beta=90.00 gamma=114.18
Closest atoms and distances in Å follow each position.
Fractional coordinates of all 6 atoms:
Li1 0.9722 0.9444 0.9444  12 Cu 2.56-2.60
Cu1 0.3034 0.6069 0.6104  10 Cu 2.54-2.60, 2 Li 2.56
Cu2 0.6410 0.2820 0.2785  10 Cu 2.54-2.60, 2 Li 2.56
Cu3 0.6381 0.2762 0.7755  9 Cu 2.55-2.58, 3 Li 2.56-2.60
Cu4 0.9722 0.9444 0.4444  10 Cu 2.54-2.60, 2 Li 2.57
Cu5 0.3063 0.6127 0.1134  9 Cu 2.55-2.58, 3 Li 2.56-2.60

## Properties
Offset from the most stable computed form   0.1 kJ per mole of atoms
Crystal system   monoclinic
DOS at the Fermi energy   1.40 states/eV per cell

***

No. 4
A relaxed structure of LiCu3. Source: Alexandria, functional PBE.

Unit cell a=4.4413 b=5.1776 c=12.5947 alpha=90.00 beta=90.00 gamma=90.00
Closest atoms and distances in Å follow each position.
Fractional coordinates of all 24 atoms:
Cu1 0.1679 0.9989 0.4177  8 Cu 2.55-2.60, 4 Li 2.57-2.58
Cu2 0.1679 0.9989 0.0823  8 Cu 2.55-2.60, 4 Li 2.57-2.58
Cu3 0.4986 0.0001 0.7500  8 Cu 2.53-2.61, 4 Li 2.56-2.58
Cu4 0.5014 0.9999 0.2500  8 Cu 2.53-2.61, 4 Li 2.56-2.58
Cu5 0.8321 0.0011 0.9177  8 Cu 2.55-2.60, 4 Li 2.57-2.58
Cu6 0.8321 0.0011 0.5823  8 Cu 2.55-2.60, 4 Li 2.57-2.58
Cu7 0.0108 0.2500 0.2500  8 Cu 2.53-2.61, 4 Li 2.58-2.59
Cu8 0.3323 0.2500 0.9161  8 Cu 2.57, 4 Li 2.57-2.59
Cu9 0.3323 0.2500 0.5839  8 Cu 2.57, 4 Li 2.57-2.59
Cu10 0.1679 0.5011 0.4177  8 Cu 2.55-2.60, 4 Li 2.57-2.58
Cu11 0.1679 0.5011 0.0823  8 Cu 2.55-2.60, 4 Li 2.57-2.58
Cu12 0.4986 0.4999 0.7500  8 Cu 2.53-2.61, 4 Li 2.56-2.58
Cu13 0.5014 0.5001 0.2500  8 Cu 2.53-2.61, 4 Li 2.56-2.58
Cu14 0.8321 0.4989 0.9177  8 Cu 2.55-2.60, 4 Li 2.57-2.58
Cu15 0.8321 0.4989 0.5823  8 Cu 2.55-2.60, 4 Li 2.57-2.58
Cu16 0.9892 0.7500 0.7500  8 Cu 2.53-2.61, 4 Li 2.58-2.59
Cu17 0.6677 0.7500 0.4161  8 Cu 2.57, 4 Li 2.57-2.59
Cu18 0.6677 0.7500 0.0839  8 Cu 2.57, 4 Li 2.57-2.59
Li1 0.9969 0.2500 0.7500  12 Cu 2.56-2.59
Li2 0.6680 0.2500 0.4155  12 Cu 2.56-2.59
Li3 0.6680 0.2500 0.0845  12 Cu 2.56-2.59
Li4 0.0031 0.7500 0.2500  12 Cu 2.56-2.59
Li5 0.3320 0.7500 0.9155  12 Cu 2.56-2.59
Li6 0.3320 0.7500 0.5845  12 Cu 2.56-2.59

## Properties
Crystal system   orthorhombic
DOS at the Fermi energy   7.37 states/eV per cell

***

No. 5
A relaxed structure of LiCu5. Source: Alexandria, functional PBE.

Unit cell a=4.8089 b=4.8089 c=4.8089 alpha=60.00 beta=60.00 gamma=60.00
Closest atoms and distances in Å follow each position.
Fractional coordinates of all 6 atoms:
Cu1 0.7500 0.7500 0.7500  12 Cu 2.82, 4 Li 2.94
Cu2 0.3752 0.3752 0.8745  6 Cu 2.40-2.41
Cu3 0.3752 0.3752 0.3752  6 Cu 2.40-2.41
Cu4 0.8745 0.3752 0.3752  6 Cu 2.40-2.41
Cu5 0.3752 0.8745 0.3752  6 Cu 2.40-2.41
Li1 0.0000 0.0000 0.0000  16 Cu 2.82-2.94

## Properties
Offset from the most stable computed form   5.7 kJ per mole of atoms
Crystal system   cubic
DOS at the Fermi energy   1.67 states/eV per cell

***

No. 6
A relaxed structure of LiCu5. Source: Alexandria, functional PBE.

Unit cell a=4.9611 b=4.9611 c=6.1467 alpha=75.53 beta=75.53 gamma=29.68
Closest atoms and distances in Å follow each position.
Fractional coordinates of all 6 atoms:
Cu1 0.0062 0.0062 0.9982  9 Cu 2.54-2.62, 3 Li 2.56-2.61
Cu2 0.3326 0.3326 0.3324  11 Cu 2.54-2.62, 1 Li 2.55
Cu3 0.6649 0.6649 0.6624  10 Cu 2.53-2.60, 2 Li 2.62
Cu4 0.6084 0.6084 0.2819  10 Cu 2.53-2.58, 2 Li 2.61
Cu5 0.9421 0.9421 0.6118  10 Cu 2.54-2.60, 2 Li 2.58
Li1 0.2793 0.2793 0.9468  2 Li 2.54, 10 Cu 2.55-2.62

## Properties
Offset from the most stable computed form   0.2 kJ per mole of atoms
Crystal system   monoclinic
DOS at the Fermi energy   1.82 states/eV per cell

***

No. 7
A relaxed structure of Li3Cu2. Source: Alexandria, functional PBE.

Unit cell a=12.6676 b=11.9253 c=4.6483 alpha=88.27 beta=70.22 gamma=21.52
Closest atoms and distances in Å follow each position.
Fractional coordinates of all 10 atoms:
Li1 0.4478 0.3457 0.4890  5 Li 2.54-2.69, 4 Cu 2.63-2.84
Li2 0.7175 0.4890 0.3457  5 Li 2.54-2.69, 4 Cu 2.63-2.84
Li3 0.9043 0.8022 0.5325  5 Li 2.54-2.69, 4 Cu 2.63-2.84
Li4 0.7610 0.5325 0.8022  5 Li 2.54-2.69, 4 Cu 2.63-2.84
Li5 0.9982 0.0018 0.0018  6 Li 2.59-2.89, 6 Cu 2.59-2.79
Li6 0.2482 0.2518 0.2518  6 Li 2.59-2.89, 6 Cu 2.59-2.79
Cu1 0.6070 0.3021 0.8615  4 Cu 2.53-2.59, 6 Li 2.59-2.79
Cu2 0.2295 0.8615 0.3021  4 Cu 2.53-2.59, 6 Li 2.59-2.79
Cu3 0.9479 0.6430 0.0205  4 Cu 2.53-2.59, 6 Li 2.59-2.79
Cu4 0.3885 0.0205 0.6430  4 Cu 2.53-2.59, 6 Li 2.59-2.79

## Properties
Offset from the most stable computed form   0.0 kJ per mole of atoms
Crystal system   orthorhombic
DOS at the Fermi energy   1.91 states/eV per cell

***

No. 8
A relaxed structure of Li3Cu2. Source: Alexandria, functional PBE.

Unit cell a=5.1176 b=5.1176 c=7.1387 alpha=69.00 beta=69.00 gamma=60.00
Closest atoms and distances in Å follow each position.
Fractional coordinates of all 10 atoms:
Cu1 0.8108 0.8108 0.5676  1 Cu 2.37, 3 Li 2.54
Cu2 0.3108 0.3108 0.0676  1 Cu 2.37, 3 Li 2.54
Cu3 0.1892 0.1892 0.4324  1 Cu 2.37, 3 Li 2.54
Cu4 0.6892 0.6892 0.9324  1 Cu 2.37, 3 Li 2.54
Li1 0.2505 0.7500 0.7500  6 Cu 2.54-2.82, 4 Li 2.56
Li2 0.7500 0.2495 0.7500  6 Cu 2.54-2.82, 4 Li 2.56
Li3 0.2495 0.2505 0.7500  6 Cu 2.54-2.82, 4 Li 2.56
Li4 0.2500 0.7505 0.2500  6 Cu 2.54-2.82, 4 Li 2.56
Li5 0.7505 0.7495 0.2500  6 Cu 2.54-2.82, 4 Li 2.56
Li6 0.7495 0.2500 0.2500  6 Cu 2.54-2.82, 4 Li 2.56

## Properties
Offset from the most stable computed form   13.6 kJ per mole of atoms
Crystal system   trigonal
DOS at the Fermi energy   2.88 states/eV per cell

***

No. 9
A relaxed structure of LiCu3. Source: Alexandria, functional PBE.

Unit cell a=4.8952 b=4.8952 c=4.3492 alpha=90.00 beta=90.00 gamma=91.41
Closest atoms and distances in Å follow each position.
Fractional coordinates of all 8 atoms:
Li1 0.4442 0.5558 0.2500  2 Li 2.31, 3 Cu 2.43-2.50
Li2 0.5558 0.4442 0.7500  2 Li 2.31, 3 Cu 2.43-2.50
Cu1 0.9029 0.0971 0.7500  1 Li 2.43, 10 Cu 2.52-2.63
Cu2 0.0971 0.9029 0.2500  1 Li 2.43, 10 Cu 2.52-2.63
Cu3 0.0444 0.6052 0.7500  7 Cu 2.40-2.63, 2 Li 2.50-2.64
Cu4 0.9556 0.3948 0.2500  7 Cu 2.40-2.63, 2 Li 2.50-2.64
Cu5 0.3948 0.9556 0.7500  7 Cu 2.40-2.63, 2 Li 2.50-2.64
Cu6 0.6052 0.0444 0.2500  7 Cu 2.40-2.63, 2 Li 2.50-2.64

## Properties
Crystal system   orthorhombic
DOS at the Fermi energy   2.15 states/eV per cell

***

No. 10
A relaxed structure of LiCu15. Source: Alexandria, functional PBE.

Unit cell a=5.1514 b=5.1514 c=8.3377 alpha=90.00 beta=90.00 gamma=120.00
Closest atoms and distances in Å follow each position.
Fractional coordinates of all 16 atoms:
Li1 0.0000 0.0000 0.0000  12 Cu 2.57-2.58
Cu1 0.0000 0.0000 0.5000  12 Cu 2.55-2.58
Cu2 0.9984 0.4992 0.0000  10 Cu 2.54-2.59, 2 Li 2.58
Cu3 0.0021 0.5010 0.5000  12 Cu 2.55-2.59
Cu4 0.5008 0.0016 0.0000  10 Cu 2.54-2.59, 2 Li 2.58
Cu5 0.4990 0.9979 0.5000  12 Cu 2.55-2.59
Cu6 0.5008 0.4992 0.0000  10 Cu 2.54-2.59, 2 Li 2.58
Cu7 0.4990 0.5010 0.5000  12 Cu 2.55-2.59
Cu8 0.8331 0.1669 0.2513  11 Cu 2.55-2.58, 1 Li 2.57
Cu9 0.8331 0.1669 0.7487  11 Cu 2.55-2.58, 1 Li 2.57
Cu10 0.8331 0.6661 0.2513  11 Cu 2.55-2.58, 1 Li 2.57
Cu11 0.8331 0.6661 0.7487  11 Cu 2.55-2.58, 1 Li 2.57
Cu12 0.3339 0.1669 0.2513  11 Cu 2.55-2.58, 1 Li 2.57
Cu13 0.3339 0.1669 0.7487  11 Cu 2.55-2.58, 1 Li 2.57
Cu14 0.3333 0.6667 0.2469  12 Cu 2.54-2.58
Cu15 0.3333 0.6667 0.7531  12 Cu 2.54-2.58

## Properties
Crystal system   hexagonal
DOS at the Fermi energy   7.98 states/eV per cell

***

No. 11
A relaxed structure of LiCu5. Source: Alexandria, functional PBE.

Unit cell a=2.5805 b=2.5805 c=11.0364 alpha=90.00 beta=90.00 gamma=90.00
Closest atoms and distances in Å follow each position.
Fractional coordinates of all 6 atoms:
Cu1 0.0000 0.0000 0.8236  8 Cu 2.55-2.58, 4 Li 2.67
Cu2 0.0000 0.0000 0.1764  8 Cu 2.55-2.58, 4 Li 2.67
Cu3 0.5000 0.5000 0.6625  12 Cu 2.55-2.58
Cu4 0.5000 0.5000 0.3375  12 Cu 2.55-2.58
Cu5 0.0000 0.0000 0.5000  12 Cu 2.56-2.58
Li1 0.5000 0.5000 0.0000  4 Li 2.58, 8 Cu 2.67

## Properties
Offset from the most stable computed form   1.7 kJ per mole of atoms
Crystal system   tetragonal
DOS at the Fermi energy   1.40 states/eV per cell

***

Looking at calculated total energy for the records above, in order, we have -104.67; -14.12; -22.56; -86.06; -22.21; -22.56; -28.15; -26.74; -27.75; -63.34; -22.46 eV/cell.
Looking at energy relative to the elements for the records above, in order, we have 0.38; 0.08; -0.17; -0.14; 0.18; -0.16; -0.14; 0.56; 0.33; 0.02; -0.07 eV per formula unit.